# 1
First-principles (PBE) data for a relaxed Dy8Cu2Ir crystal, as listed in Alexandria via LeMat-Bulk.

Symmetry: C2/m
Energy relative to the elements, eV per formula unit: -2.9
N(E_F), states/eV/f.u.: 9.3

abc: 8.995 8.995 6.666
angles: 105.17 105.17 32.80
Sites, in units of the cell vectors:
Dy: 0.033 0.033 0.292
Dy: 0.201 0.201 0.827
Dy: 0.334 0.334 0.522
Dy: 0.410 0.410 0.060
Dy: 0.590 0.590 0.940
Dy: 0.666 0.666 0.478
Dy: 0.799 0.799 0.173
Dy: 0.967 0.967 0.708
Cu: 0.186 0.186 0.226
Cu: 0.814 0.814 0.774
Ir: 0.500 0.500 0.500

# 2
First-principles (PBE) data for a relaxed NdZnGa crystal, as listed in Alexandria via LeMat-Bulk.

Symmetry: F-43m
Energy relative to the elements, eV per formula unit: -1.2
N(E_F), states/eV/f.u.: 1.2

abc: 4.635 4.635 4.635
angles: 60.00 60.00 60.00
Sites, in units of the cell vectors:
Nd: 0.000 0.000 0.000
Zn: 0.250 0.250 0.250
Ga: 0.500 0.500 0.500

# 3
First-principles (PBE) data for a relaxed LaSmDyTm2 crystal, as listed in Alexandria via LeMat-Bulk.

Symmetry: Cmcm
Energy relative to the elements, eV per formula unit: 1.8
N(E_F), states/eV/f.u.: 7.6

abc: 7.124 7.124 7.212
angles: 90.00 90.00 107.62
Sites, in units of the cell vectors:
La: 0.234 0.766 0.750
La: 0.766 0.234 0.250
Sm: 0.499 0.501 0.250
Sm: 0.501 0.499 0.750
Dy: 0.217 0.783 0.250
Dy: 0.783 0.217 0.750
Tm: 0.188 0.188 0.000
Tm: 0.188 0.188 0.500
Tm: 0.812 0.812 0.000
Tm: 0.812 0.812 0.500